[1]
Re2Mo | GGA-PBE | relaxed

Summary:
N(E_F): 0.7664 states/eV/atom
uncorrected energy: -0.8020 Ry per atom
energy of formation from the pure elements: 0.9976 eV per atom
mass density: 14400 kg/m³

Unit cell a=3.687 b=3.687 c=3.974 alpha=90.00 beta=90.00 gamma=90.00
Element x y z (fractional)
Re 0.000 0.500 0.000
Re 0.500 0.000 0.000
Mo 0.000 0.000 0.500

[2]
CaInOsO6 | GGA-PBE | relaxed

Summary:
N(E_F): 0.4879 states/eV/atom
uncorrected energy: -0.4876 Ry per atom
ΔE_f (raw): -1350 kJ/mol of formula units
mass density: 5833 kg/m³

Unit cell a=5.446 b=5.446 c=9.777 alpha=90.00 beta=90.00 gamma=120.00
Element x y z (fractional)
Ca 0.000 0.000 0.000
Ca 0.000 0.000 0.500
In 0.333 0.667 0.250
In 0.667 0.333 0.750
Os 0.333 0.667 0.750
Os 0.667 0.333 0.250
O 0.039 0.383 0.640
O 0.039 0.656 0.860
O 0.344 0.383 0.860
O 0.344 0.961 0.640
O 0.383 0.039 0.140
O 0.383 0.344 0.360
O 0.617 0.656 0.640
O 0.617 0.961 0.860
O 0.656 0.039 0.360
O 0.656 0.617 0.140
O 0.961 0.344 0.140
O 0.961 0.617 0.360

[3]
InNi2Se3 | GGA-PBE | relaxed

Summary:
N(E_F): 0.2923 states/eV/atom
uncorrected energy: -0.3254 Ry per atom
ΔE_f (raw): -174 kJ/mol of formula units
mass density: 6183 kg/m³

Unit cell a=7.122 b=7.122 c=7.122 alpha=59.40 beta=59.40 gamma=59.40
Element x y z (fractional)
In 0.221 0.221 0.221
In 0.779 0.779 0.779
Ni 0.000 0.000 0.000
Ni 0.000 0.500 0.500
Ni 0.500 0.000 0.500
Ni 0.500 0.500 0.000
Se 0.238 0.238 0.731
Se 0.238 0.731 0.238
Se 0.269 0.762 0.762
Se 0.731 0.238 0.238
Se 0.762 0.269 0.762
Se 0.762 0.762 0.269